(1)
VASP calculation (PBEsol) on crystalline BeNi2Ru at its relaxed geometry.

Properties
ΔH_f (0 K), eV per formula unit: -0.14
Space group: Pmmm, No. 47

a b c (Å): 3.378 3.267 3.821
angles (deg): 90.00 90.00 90.00
Sites, in units of the cell vectors:
Be  0.000  0.500  0.500
Ni  0.000  0.000  0.000
Ni  0.500  0.500  0.000
Ru  0.500  0.000  0.500

***

(2)
VASP calculation (PBEsol) on crystalline Co2PtO at its relaxed geometry.

Properties
Space group: I-42d, No. 122
Formation energy (no corrections), eV per atom: -0.04

a b c (Å): 4.938 4.938 4.938
angles (deg): 72.04 69.77 110.23
Each line ends with the local moment (μB).
Sites, in units of the cell vectors:
Co  0.106  0.481  0.125  0.99
Co  0.894  0.769  0.625  0.99
Co  0.394  0.625  0.481  0.99
Co  0.606  0.125  0.769  0.99
O  0.000  0.500  0.500  0.05
O  0.500  0.750  0.750  0.05
Pt  0.000  0.000  0.000  0.22
Pt  0.500  0.250  0.250  0.22

***

(3)
VASP calculation (PBEsol) on crystalline ZnHgOs2 at its relaxed geometry.

Properties
E above lowest polymorph, eV/atom: 0.000
ΔH_f (0 K), eV per formula unit: 1.61
Space group: Pmm2, No. 25

a b c (Å): 2.786 3.612 6.200
angles (deg): 90.00 90.00 90.00
Sites, in units of the cell vectors:
Hg  0.000  0.500  0.742
Os  0.500  0.000  0.044
Os  0.000  0.500  0.238
Zn  0.500  0.000  0.476

***

(4)
VASP calculation (PBEsol) on crystalline CoIrOs2 at its relaxed geometry.

Properties
E above lowest polymorph, eV/atom: 0.000
ΔH_f (0 K), eV per formula unit: 0.35
Space group: Pmm2, No. 25

a b c (Å): 2.670 3.718 5.284
angles (deg): 90.00 90.00 90.00
Each line ends with the local moment (μB).
Sites, in units of the cell vectors:
Os  0.500  0.000  0.005  0.51
Os  0.000  0.500  0.258  0.04
Ir  0.000  0.500  0.740  -0.03
Co  0.500  0.000  0.497  0.01

***

(5)
VASP calculation (PBEsol) on crystalline Al2SbMo at its relaxed geometry.

Properties
Space group: R-3m, No. 166
Formation energy (no corrections), eV per atom: 0.18

a b c (Å): 2.979 2.979 9.674
angles (deg): 81.14 81.14 60.00
Sites, in units of the cell vectors:
Sb  0.000  0.000  0.000
Mo  0.500  0.500  0.500
Al  0.239  0.239  0.282
Al  0.761  0.761  0.718

***

(6)
VASP calculation (PBEsol) on crystalline Li2SbW at its relaxed geometry.

Properties
Space group: P4/mmm, No. 123
Formation energy (no corrections), eV per atom: 0.35

a b c (Å): 3.918 3.918 4.105
angles (deg): 90.00 90.00 90.00
Sites, in units of the cell vectors:
Li  0.000  0.500  0.000
Li  0.500  0.000  0.000
Sb  0.500  0.500  0.500
W  0.000  0.000  0.500

***

(7)
VASP calculation (PBEsol) on crystalline Hf2HgAsCl at its relaxed geometry.

Properties
Space group: P4/mmm, No. 123
Formation energy (no corrections), eV per atom: 1.07

a b c (Å): 4.837 5.256 5.256
angles (deg): 90.00 90.00 90.00
Sites, in units of the cell vectors:
As  0.500  0.500  0.500
Hf  0.000  0.000  0.500
Hf  0.000  0.500  0.000
Hg  0.000  0.000  0.000
Cl  0.500  0.000  0.000

***

(8)
VASP calculation (PBEsol) on crystalline Na2InAu2 at its relaxed geometry.

Properties
ΔH_f (0 K), eV per formula unit: -1.17
Space group: P4/mbm, No. 127

a b c (Å): 4.424 7.132 7.132
angles (deg): 90.00 90.00 90.00
Sites, in units of the cell vectors:
Na  0.500  0.165  0.665
Na  0.500  0.665  0.835
Na  0.500  0.835  0.335
Na  0.500  0.335  0.165
Au  0.000  0.364  0.864
Au  0.000  0.864  0.636
Au  0.000  0.636  0.136
Au  0.000  0.136  0.364
In  0.000  0.000  0.000
In  0.000  0.500  0.500

***

(9)
VASP calculation (PBEsol) on crystalline HfGaSN2 at its relaxed geometry.

Properties
Space group: P4/mmm, No. 123
Formation energy (no corrections), eV per atom: 0.12

a b c (Å): 4.021 4.021 5.247
angles (deg): 90.00 90.00 90.00
Each line ends with the local moment (μB).
Sites, in units of the cell vectors:
S  0.000  0.000  0.500  0.01
Hf  0.000  0.000  0.000  0.01
Ga  0.500  0.500  0.500  0.00
N  0.000  0.500  0.000  0.08
N  0.500  0.000  0.000  0.08

***

(10)
VASP calculation (PBEsol) on crystalline Ta3CrSe6 at its relaxed geometry.

Properties
Space group: P6_322, No. 182
Formation energy (no corrections), eV per atom: -0.79

a b c (Å): 5.931 5.931 12.579
angles (deg): 90.00 90.00 120.00
Each line ends with the local moment (μB).
Sites, in units of the cell vectors:
Ta  0.000  0.000  0.500  0.03
Ta  0.667  0.333  0.501  -0.04
Ta  0.333  0.667  0.001  -0.04
Ta  0.000  0.000  0.000  0.03
Ta  0.333  0.667  0.499  -0.04
Ta  0.667  0.333  0.999  -0.04
Cr  0.667  0.333  0.750  2.86
Cr  0.333  0.667  0.250  2.86
Se  0.334  0.327  0.367  0.00
Se  0.666  0.673  0.867  0.00
Se  0.327  0.334  0.633  0.00
Se  0.007  0.673  0.633  0.00
Se  0.327  0.993  0.867  0.00
Se  0.666  0.993  0.633  0.00
Se  0.334  0.007  0.133  0.00
Se  0.673  0.666  0.133  0.00
Se  0.993  0.327  0.133  0.00
Se  0.673  0.007  0.367  0.00
Se  0.007  0.334  0.867  0.00
Se  0.993  0.666  0.367  0.00

***

(11)
VASP calculation (PBEsol) on crystalline ScCd22 at its relaxed geometry.

Properties
ΔH_f (0 K), eV per formula unit: -0.36
Space group: Fd-3m, No. 227

a b c (Å): 11.102 11.102 11.102
angles (deg): 60.00 60.00 60.00
Sites, in units of the cell vectors:
Cd  0.442  0.183  0.442
Cd  0.442  0.932  0.442
Cd  0.932  0.442  0.183
Cd  0.183  0.442  0.932
Cd  0.932  0.183  0.442
Cd  0.183  0.932  0.442
Cd  0.442  0.442  0.932
Cd  0.442  0.442  0.183
Cd  0.442  0.183  0.932
Cd  0.442  0.932  0.183
Cd  0.183  0.442  0.442
Cd  0.932  0.442  0.442
Cd  0.808  0.318  0.808
Cd  0.808  0.067  0.808
Cd  0.318  0.808  0.067
Cd  0.067  0.808  0.318
Cd  0.318  0.808  0.808
Cd  0.067  0.808  0.808
Cd  0.808  0.067  0.318
Cd  0.808  0.318  0.067
Cd  0.808  0.808  0.318
Cd  0.808  0.808  0.067
Cd  0.067  0.318  0.808
Cd  0.318  0.067  0.808
Cd  0.892  0.892  0.608
Cd  0.608  0.608  0.892
Cd  0.608  0.892  0.892
Cd  0.892  0.608  0.608
Cd  0.608  0.892  0.608
Cd  0.892  0.608  0.892
Cd  0.358  0.642  0.642
Cd  0.642  0.358  0.358
Cd  0.642  0.642  0.358
Cd  0.358  0.358  0.642
Cd  0.642  0.358  0.642
Cd  0.358  0.642  0.358
Cd  0.125  0.625  0.125
Cd  0.125  0.125  0.125
Cd  0.125  0.125  0.625
Cd  0.625  0.125  0.125
Cd  0.625  0.125  0.625
Cd  0.625  0.625  0.625
Cd  0.625  0.625  0.125
Cd  0.125  0.625  0.625
Sc  0.250  0.250  0.250
Sc  0.000  0.000  0.000

***

(12)
VASP calculation (PBEsol) on crystalline TiSn3C at its relaxed geometry.

Properties
ΔH_f (0 K), eV per formula unit: 4.58
Space group: Pm-3m, No. 221

a b c (Å): 4.661 4.661 4.661
angles (deg): 90.00 90.00 90.00
Each line ends with the local moment (μB).
Sites, in units of the cell vectors:
C  0.000  0.000  0.000  0.10
Sn  0.000  0.500  0.000  0.00
Sn  0.000  0.000  0.500  0.00
Sn  0.500  0.000  0.000  0.00
Ti  0.500  0.500  0.500  1.06

***

(13)
VASP calculation (PBEsol) on crystalline KTl2Au at its relaxed geometry.

Properties
ΔH_f (0 K), eV per formula unit: -0.18
Space group: P4mm, No. 99

a b c (Å): 3.809 3.809 7.811
angles (deg): 90.00 90.00 90.00
Sites, in units of the cell vectors:
Tl  0.000  0.000  0.044
Tl  0.500  0.500  0.289
Au  0.000  0.000  0.442
K  0.500  0.500  0.725

***

(14)
VASP calculation (PBEsol) on crystalline Cr2RhW at its relaxed geometry.

Properties
E above lowest polymorph, eV/atom: 0.002
ΔH_f (0 K), eV per formula unit: 0.81
Space group: F-43m, No. 216

a b c (Å): 4.230 4.230 4.230
angles (deg): 60.00 60.00 60.00
Each line ends with the local moment (μB).
Sites, in units of the cell vectors:
Cr  0.000  0.000  0.000  -0.61
Cr  0.250  0.250  0.250  2.35
Rh  0.500  0.500  0.500  0.45
W  0.750  0.750  0.750  0.22

***

(15)
VASP calculation (PBEsol) on crystalline KS2BrCl at its relaxed geometry.

Properties
Space group: P4/mmm, No. 123
Formation energy (no corrections), eV per atom: 0.80

a b c (Å): 5.515 5.968 5.968
angles (deg): 90.00 90.00 90.00
Each line ends with the local moment (μB).
Sites, in units of the cell vectors:
K  0.000  0.000  0.000  0.01
S  0.000  0.000  0.500  1.11
S  0.000  0.500  0.000  1.11
Br  0.500  0.500  0.500  0.59
Cl  0.500  0.000  0.000  0.30

***

(16)
VASP calculation (PBEsol) on crystalline La3BiIr at its relaxed geometry.

Properties
ΔH_f (0 K), eV per formula unit: -3.71
Space group: Cmcm, No. 63

a b c (Å): 4.466 6.523 11.006
angles (deg): 90.00 90.00 110.02
Sites, in units of the cell vectors:
Ir  0.500  0.000  0.500
Ir  0.500  0.000  0.000
Bi  0.260  0.519  0.250
Bi  0.740  0.481  0.750
La  0.147  0.294  0.538
La  0.147  0.294  0.962
La  0.448  0.897  0.750
La  0.853  0.706  0.462
La  0.853  0.706  0.038
La  0.552  0.103  0.250

***

(17)
VASP calculation (PBEsol) on crystalline Ta2AuS2 at its relaxed geometry.

Properties
Space group: I4/mmm, No. 139
Formation energy (no corrections), eV per atom: -0.38

a b c (Å): 4.377 4.377 5.343
angles (deg): 114.18 114.18 90.00
Sites, in units of the cell vectors:
S  0.363  0.363  0.726
S  0.637  0.637  0.274
Au  0.000  0.000  0.000
Ta  0.250  0.750  0.500
Ta  0.750  0.250  0.500

***

(18)
VASP calculation (PBEsol) on crystalline CsS2NF at its relaxed geometry.

Properties
Space group: P4/mmm, No. 123
Formation energy (no corrections), eV per atom: 1.70

a b c (Å): 6.117 6.521 6.521
angles (deg): 90.00 90.00 90.00
Each line ends with the local moment (μB).
Sites, in units of the cell vectors:
Cs  0.000  0.000  0.000  0.07
S  0.000  0.000  0.500  0.99
S  0.000  0.500  0.000  0.99
N  0.500  0.000  0.000  1.92
F  0.500  0.500  0.500  0.45

***

(19)
VASP calculation (PBEsol) on crystalline Ba2Tc2W at its relaxed geometry.

Properties
ΔH_f (0 K), eV per formula unit: 9.89
Space group: I4/mmm, No. 139

a b c (Å): 4.074 4.074 7.815
angles (deg): 105.11 105.11 90.00
Sites, in units of the cell vectors:
Ba  0.250  0.750  0.500
Ba  0.750  0.250  0.500
Tc  0.571  0.571  0.143
Tc  0.429  0.429  0.857
W  0.000  0.000  0.000

***

(20)
VASP calculation (PBEsol) on crystalline TeAuI2N at its relaxed geometry.

Properties
E above lowest polymorph, eV/atom: 0.085
Space group: P4/mmm, No. 123
Formation energy (no corrections), eV per atom: 0.94

a b c (Å): 3.928 5.976 5.976
angles (deg): 90.00 90.00 90.00
Sites, in units of the cell vectors:
I  0.000  0.000  0.500
I  0.000  0.500  0.000
Te  0.000  0.000  0.000
Au  0.500  0.500  0.500
N  0.500  0.000  0.000